NiSnAs2Br | GGA-PBE | optimized geometry

## Properties
Energy above the lowest structure with this stoichiometry ... 0.0 meV/atom
Energy relative to the elements, uncorrected ... 120 kJ/mol of formula units

Cell and atoms, written as CIF:
```
data_NiSnAs2Br
_cell_length_a 4.4804
_cell_length_b 4.4804
_cell_length_c 6.1585
_cell_angle_alpha 90.00
_cell_angle_beta 90.00
_cell_angle_gamma 90.00
_space_group_name_H-M_alt 'P 4/m m m'
_space_group_IT_number 123
_space_group_name_Hall '-P 4 2'
loop_
_atom_site_label
_atom_site_fract_x
_atom_site_fract_y
_atom_site_fract_z
Ni1 0.0000 0.0000 0.0000
Sn1 0.5000 0.5000 0.5000
As1 0.0000 0.5000 0.0000
Br1 0.0000 0.0000 0.5000
```


BeTl2Au | GGA-PBE | optimized geometry

## Properties
ΔH_f (0 K) ... 0.48 eV/atom
Energy above the lowest structure with this stoichiometry ... 388.8 meV/atom

Cell and atoms, written as CIF:
```
data_BeTl2Au
_cell_length_a 6.2965
_cell_length_b 7.3454
_cell_length_c 3.9326
_cell_angle_alpha 90.00
_cell_angle_beta 101.22
_cell_angle_gamma 90.00
_space_group_name_H-M_alt 'C 1 2/m 1'
_space_group_IT_number 12
_space_group_name_Hall '-C 2y'
loop_
_atom_site_label
_atom_site_fract_x
_atom_site_fract_y
_atom_site_fract_z
Be1 0.0000 0.0000 0.0000
Tl1 0.2500 0.2500 0.5000
Au1 0.0000 0.5000 0.0000
```


What is the formula in the second record?
BeTl2Au